First-principles (PBE) data for a relaxed structure of Er2RhAu8, as listed in Alexandria.

Results
Energy relative to the elements, eV/atom: -0.458
Calculated volume, Å³ per cell: 218.9

Cell: 6.8670 5.4425 7.9948 Å, 109.90 126.12 90.00°
Positions (direct):
Er 0.4888 0.8488 0.6977
Er 0.5112 0.1512 0.3023
Rh 0.0000 0.0000 0.0000
Au 0.7866 0.8306 0.1706
Au 0.2134 0.6600 0.8294
Au 0.7605 0.7533 0.5065
Au 0.2395 0.2467 0.4935
Au 0.7866 0.3400 0.1706
Au 0.2134 0.1694 0.8294
Au 0.2392 0.6034 0.2068
Au 0.7608 0.3966 0.7932